1.
# Cs2C2O5 (PBE-GGA, optimized geometry)
# - final energy (eV/f.u.) = -58.7
# - formation energy without anion corrections (eV/atom) = -1.52
# - crystal system = monoclinic
data_Cs2C2O5
_chemical_formula_sum 'Cs4 C4 O10'
_cell_length_a 13.715
_cell_length_b 4.284
_cell_length_c 6.351
_cell_angle_alpha 90.00
_cell_angle_beta 98.49
_cell_angle_gamma 90.00
_space_group_name_H-M_alt 'C 1 2/m 1'
_space_group_IT_number 12
loop_
_space_group_symop_operation_xyz
'x,y,z'
'-x,-y,-z'
'-x,y,-z'
'x,-y,z'
'x+1/2,y+1/2,z'
'-x+1/2,-y+1/2,-z'
'-x+1/2,y+1/2,-z'
'x+1/2,-y+1/2,z'
loop_
_atom_site_label
_atom_site_type_symbol
_atom_site_fract_x
_atom_site_fract_y
_atom_site_fract_z
Cs1 Cs 0.125 0.000 0.210
C1 C 0.089 0.500 0.652
O1 O 0.000 0.500 0.500
O2 O 0.076 0.500 0.843
O3 O 0.167 0.500 0.570



2.
# Hf4Ga2Pb (PBE-GGA, optimized geometry)
# - final energy (eV/f.u.) = -43.3
# - crystal system = tetragonal
# - ΔH_f (0 K) (meV/atom) = 895
data_Hf4Ga2Pb
_chemical_formula_sum 'Hf8 Ga4 Pb2'
_cell_length_a 5.329
_cell_length_b 5.329
_cell_length_c 13.225
_cell_angle_alpha 90.00
_cell_angle_beta 90.00
_cell_angle_gamma 90.00
_space_group_name_H-M_alt 'I 4/m m m'
_space_group_IT_number 139
_space_group_name_Hall '-I 4 2'
loop_
_atom_site_label
_atom_site_type_symbol
_atom_site_fract_x
_atom_site_fract_y
_atom_site_fract_z
Hf1 Hf 0.000 0.000 0.215
Hf2 Hf 0.000 0.500 0.000
Ga1 Ga 0.000 0.000 0.409
Pb1 Pb 0.000 0.000 0.000



3.
# CeTlAg2 (PBE-GGA, optimized geometry)
# - final energy (eV/f.u.) = -14.6
# - crystal system = cubic
# - ΔH_f (0 K) (meV/atom) = -150
# - energy relative to the lowest polymorph listed for this composition (kJ/mol of formula units) = 0
data_CeTlAg2
_chemical_formula_sum 'Ce4 Tl4 Ag8'
_cell_length_a 7.194
_cell_length_b 7.194
_cell_length_c 7.194
_cell_angle_alpha 90.00
_cell_angle_beta 90.00
_cell_angle_gamma 90.00
_space_group_name_H-M_alt 'F m -3 m'
_space_group_IT_number 225
_space_group_name_Hall '-F 4 2 3'
loop_
_atom_site_label
_atom_site_type_symbol
_atom_site_fract_x
_atom_site_fract_y
_atom_site_fract_z
Ce1 Ce 0.000 0.000 0.000
Tl1 Tl 0.000 0.000 0.500
Ag1 Ag 0.250 0.250 0.250



4.
# BeMo2Os (PBE-GGA, optimized geometry)
# - final energy (eV/f.u.) = -34.0
# - crystal system = tetragonal
# - ΔH_f (0 K) (meV/atom) = 654
data_BeMo2Os
_chemical_formula_sum 'Be4 Mo8 Os4'
_cell_length_a 7.178
_cell_length_b 7.178
_cell_length_c 4.521
_cell_angle_alpha 90.00
_cell_angle_beta 90.00
_cell_angle_gamma 90.00
_space_group_name_H-M_alt 'I -4 2 d'
_space_group_IT_number 122
_space_group_name_Hall 'I -4 2bw'
loop_
_atom_site_label
_atom_site_type_symbol
_atom_site_fract_x
_atom_site_fract_y
_atom_site_fract_z
Be1 Be 0.000 0.000 0.000
Mo1 Mo 0.166 0.250 0.125
Os1 Os 0.000 0.000 0.500



5.
# TbGa2Co2C (PBE-GGA, optimized geometry)
# - final energy (eV/f.u.) = -35.5
# - crystal system = tetragonal
# - ΔH_f (0 K) (meV/atom) = -227
data_TbGa2Co2C
_chemical_formula_sum 'Tb2 Ga4 Co4 C2'
_cell_length_a 3.926
_cell_length_b 3.926
_cell_length_c 12.218
_cell_angle_alpha 90.00
_cell_angle_beta 90.00
_cell_angle_gamma 90.00
_space_group_name_H-M_alt 'I 4/m m m'
_space_group_IT_number 139
_space_group_name_Hall '-I 4 2'
loop_
_atom_site_label
_atom_site_type_symbol
_atom_site_fract_x
_atom_site_fract_y
_atom_site_fract_z
Tb1 Tb 0.000 0.000 0.000
Ga1 Ga 0.000 0.500 0.250
Co1 Co 0.000 0.000 0.360
C1 C 0.000 0.000 0.500



6.
# TiAu2O2 (PBE-GGA, optimized geometry)
# - final energy (eV/f.u.) = -30.2
# - formation energy without anion corrections (eV/atom) = -1.17
# - crystal system = tetragonal
# - energy relative to the lowest polymorph listed for this composition (kJ/mol of formula units) = 0
data_TiAu2O2
_chemical_formula_sum 'Ti2 Au4 O4'
_cell_length_a 5.402
_cell_length_b 5.402
_cell_length_c 5.069
_cell_angle_alpha 90.00
_cell_angle_beta 90.00
_cell_angle_gamma 90.00
_space_group_name_H-M_alt 'P 4/m b m'
_space_group_IT_number 127
_space_group_name_Hall '-P 4 2ab'
loop_
_atom_site_label
_atom_site_type_symbol
_atom_site_fract_x
_atom_site_fract_y
_atom_site_fract_z
Ti1 Ti 0.000 0.000 0.000
Au1 Au 0.195 0.305 0.500
O1 O 0.216 0.284 0.000



7.
# PmY2In3 (PBE-GGA, optimized geometry)
# - final energy (eV/f.u.) = -28.9
# - crystal system = tetragonal
# - ΔH_f (0 K) (meV/atom) = -500
# - energy relative to the lowest polymorph listed for this composition (kJ/mol of formula units) = 0
data_PmY2In3
_chemical_formula_sum 'Pm1 Y2 In3'
_cell_length_a 3.772
_cell_length_b 3.772
_cell_length_c 11.499
_cell_angle_alpha 90.00
_cell_angle_beta 90.00
_cell_angle_gamma 90.00
_space_group_name_H-M_alt 'P 4/m m m'
_space_group_IT_number 123
_space_group_name_Hall '-P 4 2'
loop_
_atom_site_label
_atom_site_type_symbol
_atom_site_fract_x
_atom_site_fract_y
_atom_site_fract_z
Pm1 Pm 0.000 0.000 0.000
Y1 Y 0.000 0.000 0.337
In1 In 0.500 0.500 0.174
In2 In 0.500 0.500 0.500



8.
# Ac2CuSiAu6 (PBE-GGA, optimized geometry)
# - final energy (eV/f.u.) = -42.3
# - formation energy without anion corrections (eV/atom) = -0.49
# - crystal system = triclinic
data_Ac2CuSiAu6
_chemical_formula_sum 'Ac2 Cu1 Si1 Au6'
_cell_length_a 6.128
_cell_length_b 6.763
_cell_length_c 7.097
_cell_angle_alpha 71.45
_cell_angle_beta 64.45
_cell_angle_gamma 63.08
_space_group_name_H-M_alt 'P -1'
_space_group_IT_number 2
loop_
_space_group_symop_operation_xyz
'x,y,z'
'-x,-y,-z'
loop_
_atom_site_label
_atom_site_type_symbol
_atom_site_fract_x
_atom_site_fract_y
_atom_site_fract_z
Ac1 Ac 0.239 0.220 0.306
Cu1 Cu 0.500 0.500 0.500
Si1 Si 0.000 0.000 0.000
Au1 Au 0.249 0.630 0.867
Au2 Au 0.251 0.243 0.764
Au3 Au 0.258 0.755 0.236